No. 1
First-principles (PBE-GGA) data for crystalline CaThTlPt at its relaxed geometry, as listed in the Alexandria database.

It has space group F-43m (No. 216), with a = 7.443 Å, b = 7.443 Å, c = 7.443 Å, α = 90.00°, β = 90.00° and γ = 90.00°. Symmetry generates all atoms from Ca at (0.000, 0.000, 0.000), Th at (0.000, 0.000, 0.500), Tl at (0.250, 0.250, 0.250) and Pt at (0.250, 0.250, 0.750).

The value obtained for the uncorrected energy is -79.834 eV for the cell shown.


No. 2
First-principles (PBE-GGA) data for crystalline EuZn4Hg at its relaxed geometry, as listed in the Alexandria database.

It has space group F-43m (No. 216), with a = 7.818 Å, b = 7.818 Å, c = 7.818 Å, α = 90.00°, β = 90.00° and γ = 90.00°. Symmetry generates all atoms from Eu at (0.000, 0.000, 0.000), Zn at (0.125, 0.125, 0.375) and Hg at (0.250, 0.250, 0.750).

The value obtained for the uncorrected energy is -65.712 eV for the cell shown.


No. 3
First-principles (PBE-GGA) data for crystalline BiCI3 at its relaxed geometry, as listed in the Alexandria database.

It has space group Pm-3m (No. 221), with a = 6.149 Å, b = 6.149 Å, c = 6.149 Å, α = 90.00°, β = 90.00° and γ = 90.00°. Symmetry generates all atoms from Bi at (0.000, 0.000, 0.000), C at (0.500, 0.500, 0.500) and I at (0.000, 0.000, 0.500).

The energy above the most stable polymorph in this dataset comes out at 0.287 eV/atom. The value obtained for the energy relative to the elements, uncorrected is 1.338 eV/atom.


No. 4
First-principles (PBE-GGA) data for crystalline TbCeTm2As4 at its relaxed geometry, as listed in the Alexandria database.

It has space group P2/m (No. 10), with a = 7.125 Å, b = 4.122 Å, c = 7.136 Å, α = 90.00°, β = 109.44° and γ = 90.00°. Symmetry generates all atoms from Tb at (0.000, 0.000, 0.000), Ce at (0.000, 0.500, 0.500), Tm at (0.500, 0.000, 0.500), Tm at (0.500, 0.500, 0.000), As at (0.255, 0.500, 0.251) and As at (0.257, 0.000, 0.754).

The value obtained for the uncorrected energy is -50.050 eV for the cell shown.


No. 5
First-principles (PBE-GGA) data for crystalline HfRePbI2 at its relaxed geometry, as listed in the Alexandria database.

It has space group P4/mmm (No. 123), with a = 5.405 Å, b = 5.405 Å, c = 5.126 Å, α = 90.00°, β = 90.00° and γ = 90.00°. Symmetry generates all atoms from Hf at (0.000, 0.000, 0.000), Re at (0.000, 0.000, 0.500), Pb at (0.500, 0.500, 0.000) and I at (0.000, 0.500, 0.500).

The value obtained for the energy relative to the elements, uncorrected is 0.915 eV/atom.


No. 6
First-principles (PBE-GGA) data for crystalline KMoAs2 at its relaxed geometry, as listed in the Alexandria database.

It has space group P4mm (No. 99), with a = 3.490 Å, b = 3.490 Å, c = 7.920 Å, α = 90.00°, β = 90.00° and γ = 90.00°. Symmetry generates all atoms from K at (0.000, 0.000, 0.000), Mo at (0.500, 0.500, 0.393), As at (0.000, 0.000, 0.448) and As at (0.500, 0.500, 0.709).

The energy above the most stable polymorph in this dataset comes out at 0.413 eV/atom.


No. 7
First-principles (PBE-GGA) data for crystalline Tm8Sn3 at its relaxed geometry, as listed in the Alexandria database.

It has space group R-3 (No. 148, hexagonal axes), with a = 9.8873 Å, b = 9.8873 Å, c = 12.4406 Å, α = 90.00°, β = 90.00° and γ = 120.00°. Symmetry generates all atoms from Tm at (0.0000, 0.0000, 0.1595), Tm at (0.0281, 0.7983, 0.6121) and Sn at (0.0000, 0.5000, 0.5000).

The value obtained for the uncorrected energy is -146.366 eV for the cell shown.


No. 8
First-principles (PBE-GGA) data for crystalline K2Rb3OsO6 at its relaxed geometry, as listed in the Alexandria database.

It has space group C2/m (No. 12), with a = 6.511 Å, b = 11.196 Å, c = 6.510 Å, α = 90.00°, β = 109.63° and γ = 90.00°. Symmetry generates all atoms from K at (0.000, 0.167, 0.000), Rb at (0.000, 0.000, 0.500), Rb at (0.000, 0.332, 0.500), Os at (0.000, 0.500, 0.000), O at (0.182, 0.500, 0.817) and O at (0.183, 0.378, 0.182).

The value obtained for the energy relative to the elements, uncorrected is -1.344 eV/atom.


No. 9
First-principles (PBE-GGA) data for crystalline ZrAsS2N at its relaxed geometry, as listed in the Alexandria database.

It has space group P4/mmm (No. 123), with a = 4.761 Å, b = 4.761 Å, c = 3.693 Å, α = 90.00°, β = 90.00° and γ = 90.00°. Symmetry generates all atoms from Zr at (0.000, 0.000, 0.000), As at (0.500, 0.500, 0.500), S at (0.000, 0.500, 0.500) and N at (0.500, 0.500, 0.000).

The energy above the most stable polymorph in this dataset comes out at 0.110 eV/atom. The value obtained for the energy relative to the elements, uncorrected is 0.305 eV/atom.


No. 10
First-principles (PBE-GGA) data for crystalline ScTe2Pt2 at its relaxed geometry, as listed in the Alexandria database.

It has space group I4/mmm (No. 139), with a = 3.844 Å, b = 3.844 Å, c = 14.813 Å, α = 90.00°, β = 90.00° and γ = 90.00°. Symmetry generates all atoms from Sc at (0.000, 0.000, 0.000), Te at (0.000, 0.000, 0.391) and Pt at (0.000, 0.500, 0.250).

The value obtained for the energy relative to the elements, uncorrected is -0.334 eV/atom.


No. 11
First-principles (PBE-GGA) data for crystalline PtRhO4 at its relaxed geometry, as listed in the Alexandria database.

It has space group I4_1md (No. 109), with a = 6.471 Å, b = 6.471 Å, c = 6.362 Å, α = 90.00°, β = 90.00° and γ = 90.00°. Symmetry generates all atoms from Pt at (0.000, 0.000, 0.000), Rh at (0.000, 0.000, 0.505), O at (0.000, 0.191, 0.253) and O at (0.000, 0.193, 0.751).

The energy above the most stable polymorph in this dataset comes out at 0.009 eV/atom. The value obtained for the energy relative to the elements, uncorrected is -0.587 eV/atom.


No. 12
First-principles (PBE-GGA) data for crystalline Li2CdSi at its relaxed geometry, as listed in the Alexandria database.

It has space group Pmm2 (No. 25), with a = 2.901 Å, b = 4.510 Å, c = 4.996 Å, α = 90.00°, β = 90.00° and γ = 90.00°. Symmetry generates all atoms from Li at (0.000, 0.000, 0.000), Li at (0.000, 0.500, 0.329), Cd at (0.500, 0.000, 0.510) and Si at (0.500, 0.500, 0.845).

The value obtained for the energy relative to the elements, uncorrected is -0.155 eV/atom.


No. 13
First-principles (PBE-GGA) data for crystalline Th2Ga12Pd at its relaxed geometry, as listed in the Alexandria database.

It has space group P4/nbm (No. 125, origin choice 2), with a = 6.179 Å, b = 6.179 Å, c = 15.377 Å, α = 90.00°, β = 90.00° and γ = 90.00°. Symmetry generates all atoms from Th at (0.250, 0.750, 0.246), Ga at (0.001, 0.501, 0.089), Ga at (0.080, 0.580, 0.571), Ga at (0.250, 0.250, 0.185), Ga at (0.250, 0.250, 0.344) and Pd at (0.250, 0.750, 0.000).

The value obtained for the uncorrected energy is -124.566 eV for the cell shown.


no.,M_tot (μB/f.u.)
1,0.00
2,6.87
3,2.00
4,0.56
5,0.00
6,0.00
7,0.00
8,1.04
9,0.00
10,0.00
11,0.00
12,0.00
13,0.00